1.
This record from Alexandria via LeMat-Bulk describes an optimized crystal structure of Na2PuScS4. The functional is GGA-PBE.

abc: 3.918 6.767 7.005
angles: 108.91 90.00 90.00
Each line ends with the local moment (μB).
Positions (direct):
Na (0.500, 0.000, 0.500)  0.00
Na (0.000, 0.500, 0.500)  0.00
Pu (0.000, 0.000, 0.000)  4.98
Sc (0.500, 0.500, 0.000)  0.09
S (0.500, 0.254, 0.223)  -0.07
S (0.500, 0.746, 0.777)  -0.07
S (0.000, 0.273, 0.781)  -0.04
S (0.000, 0.727, 0.219)  -0.04

## Properties
ΔE_f (raw) in eV per formula unit: -12.97

---

2.
This record from Alexandria via LeMat-Bulk describes an optimized crystal structure of NaSr2Ag. The functional is GGA-PBE.

abc: 4.293 5.806 5.806
angles: 90.00 90.00 90.00
Positions (direct):
Sr (0.000, 0.000, 0.500)
Sr (0.000, 0.500, 0.000)
Ag (0.500, 0.000, 0.000)
Na (0.500, 0.500, 0.500)

## Properties
Energy of formation from the pure elements in eV/atom: -0.068

---

3.
This record from Alexandria via LeMat-Bulk describes an optimized crystal structure of La2NdSn. The functional is GGA-PBE.

abc: 3.772 3.772 11.380
angles: 80.46 80.46 60.00
Positions (direct):
La (0.077, 0.077, 0.770)
La (0.257, 0.257, 0.230)
Nd (0.500, 0.500, 0.499)
Sn (0.666, 0.666, 0.001)

## Properties
Energy of formation from the pure elements in eV/atom: -0.204

---

4.
This record from Alexandria via LeMat-Bulk describes an optimized crystal structure of LaCr2Cd. The functional is GGA-PBE.

abc: 2.802 2.802 9.384
angles: 90.00 90.00 90.00
Positions (direct):
Cd (0.500, 0.500, 0.750)
Cr (0.000, 0.000, 0.976)
Cr (0.000, 0.000, 0.524)
La (0.500, 0.500, 0.250)

## Properties
Energy of formation from the pure elements in eV/atom: 0.976